Compound: Rb2AlSb2
Source: Alexandria
Functional: PBE
Structure: relaxed

Unit cell a=15.758 b=7.063 c=10.202 alpha=90.00 beta=123.40 gamma=90.00
Space group C2/m (No. 12)
Inequivalent atoms, fractional coordinates:
Rb 0.141 0.000 0.437 [4 per cell]
Rb 0.248 0.500 0.866 [4 per cell]
Al 0.004 0.500 0.152 [4 per cell]
Sb 0.071 0.500 0.450 [4 per cell]
Sb 0.165 0.500 0.132 [4 per cell]

Properties
The total magnetization comes out at 0.00 μB/f.u. The value obtained for the total energy is -3.094 eV/atom. The calculation puts the mass density at 3.1 g cm⁻³.